[1]
Material: Bi2As2I
Method: DFT, PBE
State: relaxed

a = 8.796 Å, b = 8.796 Å, c = 3.724 Å
α = 90.00°, β = 90.00°, γ = 90.00°
Space group P4/mbm (No. 127)
One atom of each set of equivalent atoms:
Bi: 0.147 0.353 0.000
As: 0.127 0.627 0.500
I: 0.000 0.000 0.000

total magnetization	0.00	Bohr magnetons per cell
formation energy without anion corrections	3.43	kcal/mol of atoms
energy	-3.5736	eV per atom
density	8006	kg/m³
ΔE to the lowest computed polymorph	0.905	eV/f.u.

[2]
Material: NaBi2IrPb
Method: DFT, PBE
State: relaxed

a = 5.359 Å, b = 5.359 Å, c = 4.958 Å
α = 90.00°, β = 90.00°, γ = 90.00°
Space group P4/mmm (No. 123)
One atom of each set of equivalent atoms:
Na: 0.000 0.000 0.000
Bi: 0.000 0.500 0.000
Ir: 0.000 0.000 0.500
Pb: 0.500 0.500 0.500

total magnetization	0.00	Bohr magnetons per cell
formation energy	1.0219	eV/atom
energy	-3.3082	eV per atom
density	9801	kg/m³

[3]
Material: NaHo2As
Method: DFT, PBE
State: relaxed

a = 3.8492 Å, b = 3.8492 Å, c = 31.4711 Å
α = 90.00°, β = 90.00°, γ = 120.00°
Space group R-3m (No. 166, hexagonal axes)
One atom of each set of equivalent atoms:
Na: 0.0000 0.0000 0.0000
Ho: 0.0000 0.0000 0.1130
As: 0.0000 0.0000 0.5000

total magnetization	0.00	Bohr magnetons per cell
formation energy	-0.4567	eV/atom
energy	-4.2377	eV per atom
density	5277	kg/m³

[4]
Material: ZnBi2Pb
Method: DFT, PBE
State: relaxed

a = 4.3584 Å, b = 4.3584 Å, c = 21.6780 Å
α = 90.00°, β = 90.00°, γ = 120.00°
Space group R-3m (No. 166, hexagonal axes)
One atom of each set of equivalent atoms:
Zn: 0.0000 0.0000 0.0000
Bi: 0.0000 0.0000 0.2647
Pb: 0.0000 0.0000 0.5000

total magnetization	0.00	Bohr magnetons per cell
formation energy	0.1232	eV/atom
energy	-3.0629	eV per atom
density	9647	kg/m³

[5]
Material: MgSb2Te
Method: DFT, PBE
State: relaxed

a = 5.402 Å, b = 4.349 Å, c = 5.467 Å
α = 90.00°, β = 110.82°, γ = 90.00°
Space group Pm (No. 6)
One atom of each set of equivalent atoms:
Mg: 0.000 0.000 0.000
Sb: 0.291 0.500 0.749
Sb: 0.495 0.000 0.504
Te: 0.777 0.500 0.206

total magnetization	0.00	Bohr magnetons per cell
formation energy without anion corrections	-4.60	kcal/mol of atoms
energy	-3.4449	eV per atom
density	5470	kg/m³
ΔE to the lowest computed polymorph	0.287	eV/f.u.

[6]
Material: Cr2SiAg
Method: DFT, PBE
State: relaxed

a = 2.694 Å, b = 3.891 Å, c = 5.251 Å
α = 90.00°, β = 95.98°, γ = 90.00°
Space group P2/m (No. 10)
One atom of each set of equivalent atoms:
Cr: 0.067 0.000 0.303
Si: 0.500 0.500 0.500
Ag: 0.500 0.500 0.000

total magnetization	0.00	Bohr magnetons per cell
formation energy without anion corrections	5.85	kcal/mol of atoms
energy	-6.6267	eV per atom
density	7279	kg/m³